1.
Entry from Alexandria via LeMat-Bulk: a relaxed HgAs2Au crystal (PBE).

Calculated values
* calculated formation energy: 285 meV per atom
* size of the total moment: 0.00 μB/cell
* total DFT energy (no corrections): -2.934 eV per atom

Lattice parameters (Å, degrees): 2.8842 3.7552 7.7419 90.00 90.00 90.00
Space group Pmm2 (No. 25)
Symmetry-distinct sites (fractional):
Hg  0.0000  0.0000  0.0000
As  0.0000  0.0000  0.5073
As  0.5000  0.5000  0.3002
Au  0.5000  0.5000  0.7414



2.
Entry from Alexandria via LeMat-Bulk: a relaxed HgAs2Au crystal (PBE).

Calculated values
* calculated formation energy: 141 meV per atom
* size of the total moment: 0.00 μB/cell
* total DFT energy (no corrections): -3.079 eV per atom

Lattice parameters (Å, degrees): 8.3887 2.9220 7.3674 90.00 98.70 90.00
Space group Cm (No. 8)
Symmetry-distinct sites (fractional):
Hg  0.0000  0.0000  0.0000
As  0.0685  0.5000  0.5159
As  0.2279  0.5000  0.2587
Au  0.2805  0.0000  0.7357



3.
Entry from Alexandria via LeMat-Bulk: a relaxed HgAs2Au crystal (PBE).

Calculated values
* calculated formation energy: 340 meV per atom
* size of the total moment: 0.00 μB/cell
* total DFT energy (no corrections): -2.880 eV per atom

Lattice parameters (Å, degrees): 5.4869 10.4067 2.9231 90.00 90.00 90.00
Space group Cmmm (No. 65)
Symmetry-distinct sites (fractional):
Hg  0.0000  0.0000  0.0000
As  0.2500  0.2500  0.5000
Au  0.0000  0.5000  0.0000